Density functional theory data (meta-GGA SCAN) for a crystal of TcAsPdSe2 relaxed with PBEsol.

* calculated volume: 21.38 Å³ per atom
* crystal system: tetragonal
* VASP energy: -124.79 eV per cell

extended XYZ file:
```
5
Lattice="4.774 0.000 0.000 0.000 4.774 0.000 0.000 0.000 4.691" Properties=species:S:1:pos:R:3 pbc="T T T"
Tc 0.000 0.000 0.000
As 0.000 0.000 2.346
Pd 2.387 2.387 2.346
Se 0.000 2.387 0.000
Se 2.387 0.000 0.000
```